(1)
A plane-wave DFT calculation with PBE was carried out for an optimized crystal structure of Ca5Cd2Pd.

Unit cell a=7.817 b=12.773 c=4.933 alpha=90.00 beta=90.00 gamma=90.00
Element x y z (fractional)
Ca: 0.000 0.000 0.000
Ca: 0.140 0.294 0.000
Ca: 0.180 0.579 0.500
Ca: 0.320 0.079 0.500
Ca: 0.360 0.794 0.000
Ca: 0.500 0.500 0.000
Ca: 0.640 0.206 0.000
Ca: 0.680 0.921 0.500
Ca: 0.820 0.421 0.500
Ca: 0.860 0.706 0.000
Cd: 0.080 0.836 0.500
Cd: 0.420 0.336 0.500
Cd: 0.580 0.664 0.500
Cd: 0.920 0.164 0.500
Pd: 0.000 0.500 0.000
Pd: 0.500 0.000 0.000



(2)
A plane-wave DFT calculation with PBE was carried out for an optimized crystal structure of Mg2Tc2Ge.

Unit cell a=6.315 b=6.315 c=4.472 alpha=90.00 beta=90.00 gamma=90.00
Element x y z (fractional)
Mg: 0.166 0.334 0.000
Mg: 0.334 0.834 0.000
Mg: 0.666 0.166 0.000
Mg: 0.834 0.666 0.000
Tc: 0.132 0.632 0.500
Tc: 0.368 0.132 0.500
Tc: 0.632 0.868 0.500
Tc: 0.868 0.368 0.500
Ge: 0.000 0.000 0.500
Ge: 0.500 0.500 0.500



(3)
A plane-wave DFT calculation with PBE was carried out for an optimized crystal structure of ScCdAu2.

Unit cell a=6.522 b=6.473 c=3.730 alpha=90.00 beta=90.17 gamma=90.00
Element x y z (fractional)
Sc: 0.000 0.000 0.000
Sc: 0.500 0.500 0.000
Cd: 0.000 0.500 0.000
Cd: 0.500 0.000 0.000
Au: 0.250 0.250 0.500
Au: 0.250 0.750 0.500
Au: 0.750 0.250 0.500
Au: 0.750 0.750 0.500



Number 1: E_tot -2.49 eV/atom. Number 2: E_tot -5.75 eV/atom. Number 3: E_tot -3.92 eV/atom.